{
  "formula": "CsSc2Ni4",
  "functional": "PBE",
  "state": "optimized geometry",
  "lattice": [[4.7926, 0.0000, 0.0000], [0.0000, 4.7926, 0.0000], [0.0000, 0.0000, 13.4962]],
  "species": ["Cs", "Cs", "Sc", "Sc", "Sc", "Sc", "Ni", "Ni", "Ni", "Ni", "Ni", "Ni", "Ni", "Ni"],
  "frac_coords": [[0.0000, 0.0000, 0.0000], [0.5000, 0.5000, 0.5000], [0.0000, 0.0000, 0.3736], [0.0000, 0.0000, 0.6264], [0.5000, 0.5000, 0.1264], [0.5000, 0.5000, 0.8736], [0.0000, 0.0000, 0.2054], [0.0000, 0.0000, 0.7946], [0.0000, 0.5000, 0.0000], [0.0000, 0.5000, 0.5000], [0.5000, 0.0000, 0.0000], [0.5000, 0.0000, 0.5000], [0.5000, 0.5000, 0.2946], [0.5000, 0.5000, 0.7054]],
  "dos_at_fermi_per_ev_cell": 11.1,
  "delta_e_f_kcal_per_mol_atoms": 28.42
}

***

{
  "formula": "CsScNi2",
  "functional": "PBE",
  "state": "optimized geometry",
  "lattice": [[6.9291, 0.0000, 0.0000], [0.0000, 6.9291, 0.0000], [0.0000, 0.0000, 6.9291]],
  "species": ["Cs", "Cs", "Cs", "Cs", "Sc", "Sc", "Sc", "Sc", "Ni", "Ni", "Ni", "Ni", "Ni", "Ni", "Ni", "Ni"],
  "frac_coords": [[0.0000, 0.0000, 0.0000], [0.0000, 0.5000, 0.5000], [0.5000, 0.0000, 0.5000], [0.5000, 0.5000, 0.0000], [0.0000, 0.0000, 0.5000], [0.0000, 0.5000, 0.0000], [0.5000, 0.0000, 0.0000], [0.5000, 0.5000, 0.5000], [0.2500, 0.2500, 0.2500], [0.2500, 0.2500, 0.7500], [0.2500, 0.7500, 0.2500], [0.2500, 0.7500, 0.7500], [0.7500, 0.2500, 0.2500], [0.7500, 0.2500, 0.7500], [0.7500, 0.7500, 0.2500], [0.7500, 0.7500, 0.7500]],
  "dos_at_fermi_per_ev_cell": 4.8,
  "de_polymorph_mev_per_atom": 98,
  "delta_e_f_kcal_per_mol_atoms": 18.56
}

***

{
  "formula": "CsScNi",
  "functional": "PBE",
  "state": "optimized geometry",
  "lattice": [[3.6597, 0.0000, 0.0000], [-0.0002, 3.6622, 0.0000], [-0.1737, -0.0251, 7.0313]],
  "species": ["Cs", "Sc", "Ni"],
  "frac_coords": [[0.0000, 0.0000, 0.0000], [0.4954, 0.5142, 0.4999], [0.9950, 0.0150, 0.5010]],
  "dos_at_fermi_per_ev_cell": 2.4,
  "de_polymorph_mev_per_atom": 303,
  "delta_e_f_kcal_per_mol_atoms": 7.38
}

***

{
  "formula": "CsScNi",
  "functional": "PBE",
  "state": "optimized geometry",
  "lattice": [[3.5761, 0.0000, 0.0000], [0.0001, 4.1929, 0.0000], [0.6855, 0.0369, 13.6096]],
  "species": ["Cs", "Cs", "Sc", "Sc", "Ni", "Ni"],
  "frac_coords": [[0.0622, 0.2529, 0.1749], [0.9378, 0.7471, 0.8251], [0.4838, 0.2492, 0.5849], [0.5162, 0.7508, 0.4151], [0.0108, 0.2506, 0.4431], [0.9892, 0.7494, 0.5569]],
  "dos_at_fermi_per_ev_cell": 6.1,
  "de_polymorph_mev_per_atom": 0,
  "delta_e_f_kcal_per_mol_atoms": 0.39
}

***

{
  "formula": "CsScNi2",
  "functional": "PBE",
  "state": "optimized geometry",
  "lattice": [[7.5732, 0.0000, 0.0000], [0.0000, 7.5732, 0.0000], [0.0000, 0.0000, 7.2984]],
  "species": ["Cs", "Cs", "Cs", "Cs", "Sc", "Sc", "Sc", "Sc", "Ni", "Ni", "Ni", "Ni", "Ni", "Ni", "Ni", "Ni"],
  "frac_coords": [[0.0000, 0.0000, 0.0000], [0.0000, 0.5000, 0.2500], [0.5000, 0.0000, 0.7500], [0.5000, 0.5000, 0.5000], [0.0000, 0.0000, 0.5000], [0.0000, 0.5000, 0.7500], [0.5000, 0.0000, 0.2500], [0.5000, 0.5000, 0.0000], [0.1776, 0.2500, 0.6250], [0.2500, 0.6776, 0.8750], [0.2500, 0.8224, 0.3750], [0.3224, 0.2500, 0.1250], [0.6776, 0.7500, 0.1250], [0.7500, 0.1776, 0.3750], [0.7500, 0.3224, 0.8750], [0.8224, 0.7500, 0.6250]],
  "dos_at_fermi_per_ev_cell": 4.8,
  "de_polymorph_mev_per_atom": 0,
  "delta_e_f_kcal_per_mol_atoms": 16.30
}

***

{
  "formula": "CsScNi",
  "functional": "PBE",
  "state": "optimized geometry",
  "lattice": [[4.4785, 0.0000, 0.0000], [0.0000, 4.4785, 0.0000], [0.0000, 0.0000, 23.5539]],
  "species": ["Cs", "Cs", "Cs", "Cs", "Sc", "Sc", "Sc", "Sc", "Ni", "Ni", "Ni", "Ni"],
  "frac_coords": [[0.0000, 0.0000, 0.1506], [0.0000, 0.0000, 0.8494], [0.5000, 0.5000, 0.3494], [0.5000, 0.5000, 0.6506], [0.0000, 0.5000, 0.0000], [0.0000, 0.5000, 0.5000], [0.5000, 0.0000, 0.0000], [0.5000, 0.0000, 0.5000], [0.0000, 0.0000, 0.4423], [0.0000, 0.0000, 0.5577], [0.5000, 0.5000, 0.0577], [0.5000, 0.5000, 0.9423]],
  "dos_at_fermi_per_ev_cell": 10.5,
  "de_polymorph_mev_per_atom": 124,
  "delta_e_f_kcal_per_mol_atoms": 3.25
}